No. 1
First-principles (GGA-PBE) data for a relaxed Tb5SnSb4 crystal, as listed in Alexandria.

Unit cell a=6.226 b=7.626 c=7.626 alpha=80.41 beta=65.91 gamma=65.91
Positions (direct):
Tb 0.302 0.800 0.598
Tb 0.102 0.598 0.200
Tb 0.700 0.200 0.402
Tb 0.501 0.000 0.000
Tb 0.900 0.402 0.800
Sb 0.801 0.799 0.600
Sb 0.401 0.400 0.799
Sb 0.601 0.600 0.201
Sb 0.201 0.201 0.400
Sn 0.001 0.000 0.000

As for the electronic total energy: -5.38 eV per atom. Its crystal system is tetragonal.

---

No. 2
First-principles (GGA-PBE) data for a relaxed Tb6Sn2Sb crystal, as listed in Alexandria.

Unit cell a=4.289 b=8.393 c=8.393 alpha=120.00 beta=90.00 gamma=90.00
Positions (direct):
Tb 0.500 0.598 0.000
Tb 0.000 0.000 0.267
Tb 0.500 0.402 0.402
Tb 0.500 0.000 0.598
Tb 0.000 0.267 0.000
Tb 0.000 0.733 0.733
Sn 0.000 0.667 0.333
Sn 0.000 0.333 0.667
Sb 0.500 0.000 0.000

As for the electronic total energy: -5.07 eV per atom. Its crystal system is hexagonal.

---

No. 3
First-principles (GGA-PBE) data for a relaxed Tb6SnSb5 crystal, as listed in Alexandria.

Unit cell a=7.620 b=7.623 c=7.633 alpha=60.04 beta=80.38 gamma=70.44
Positions (direct):
Tb 0.750 0.418 0.665
Tb 0.749 0.749 0.000
Tb 0.250 0.582 0.335
Tb 0.251 0.251 0.000
Tb 0.750 0.083 0.335
Tb 0.250 0.917 0.665
Sb 0.000 0.666 0.667
Sb 0.500 0.500 0.000
Sb 0.500 0.833 0.334
Sb 0.000 0.334 0.333
Sb 0.500 0.167 0.666
Sn 0.000 0.000 0.000

As for the electronic total energy: -5.40 eV per atom. Its crystal system is monoclinic.

---

No. 4
First-principles (GGA-PBE) data for a relaxed Tb8Sn2Sb crystal, as listed in Alexandria.

Unit cell a=4.976 b=6.939 c=10.231 alpha=102.28 beta=104.07 gamma=90.00
Positions (direct):
Sb 0.500 0.000 0.000
Tb 0.594 0.481 0.188
Tb 0.975 0.236 0.949
Tb 0.782 0.667 0.563
Tb 0.218 0.333 0.437
Tb 0.406 0.519 0.812
Tb 0.659 0.010 0.317
Tb 0.025 0.764 0.051
Tb 0.341 0.990 0.683
Sn 0.817 0.237 0.635
Sn 0.183 0.763 0.365

As for the electronic total energy: -4.91 eV per atom. Its crystal system is monoclinic.

---

No. 5
First-principles (GGA-PBE) data for a relaxed Tb8Sn5Sb crystal, as listed in Alexandria.

Unit cell a=8.065 b=8.065 c=8.065 alpha=109.47 beta=109.47 gamma=109.47
Positions (direct):
Sn 0.750 0.625 0.626
Sn 0.500 0.000 0.500
Sn 0.374 0.125 0.999
Sn 0.875 0.875 0.250
Sn 0.001 0.375 0.125
Tb 0.627 0.392 0.876
Tb 0.625 0.893 0.875
Tb 0.124 0.751 0.516
Tb 0.125 0.750 0.017
Tb 0.267 0.250 0.375
Tb 0.765 0.249 0.373
Tb 0.484 0.608 0.235
Tb 0.983 0.107 0.733
Sb 0.250 0.500 0.750

As for the electronic total energy: -5.15 eV per atom. Its crystal system is tetragonal.

---

No. 6
First-principles (GGA-PBE) data for a relaxed Tb4SnSbTe2 crystal, as listed in Alexandria.

Unit cell a=4.404 b=7.625 c=7.627 alpha=70.58 beta=90.00 gamma=90.00
Positions (direct):
Tb 0.000 0.738 0.757
Tb 0.500 0.738 0.251
Tb 0.000 0.262 0.243
Tb 0.500 0.262 0.749
Te 0.000 0.000 0.000
Te 0.500 0.000 0.500
Sn 0.500 0.500 0.000
Sb 0.000 0.500 0.500

As for the electronic total energy: -5.30 eV per atom. Its crystal system is monoclinic.

---

No. 7
First-principles (GGA-PBE) data for a relaxed Tb8SnSb3Te4 crystal, as listed in Alexandria.

Unit cell a=8.799 b=8.802 c=8.798 alpha=119.99 beta=120.00 gamma=90.00
Positions (direct):
Tb 0.746 0.739 0.493
Tb 0.245 0.738 0.489
Tb 0.254 0.261 0.507
Tb 0.251 0.262 0.006
Tb 0.755 0.262 0.006
Tb 0.245 0.738 0.994
Tb 0.749 0.738 0.994
Tb 0.755 0.262 0.511
Te 0.000 0.000 0.000
Te 0.000 0.000 0.500
Te 0.500 0.000 0.000
Te 0.500 0.000 0.500
Sb 0.000 0.500 0.500
Sb 0.500 0.500 0.500
Sb 0.500 0.500 0.000
Sn 0.000 0.500 0.000

As for the electronic total energy: -5.36 eV per atom. Its crystal system is trigonal.

---

No. 8
First-principles (GGA-PBE) data for a relaxed Tc2Sn2Sb crystal, as listed in Alexandria.

Unit cell a=7.597 b=7.597 c=3.370 alpha=90.00 beta=90.00 gamma=90.00
Positions (direct):
Sb 0.000 0.000 0.000
Sb 0.500 0.500 0.000
Sn 0.856 0.356 0.500
Sn 0.144 0.644 0.500
Sn 0.356 0.144 0.500
Sn 0.644 0.856 0.500
Tc 0.652 0.152 0.000
Tc 0.152 0.348 0.000
Tc 0.348 0.848 0.000
Tc 0.848 0.652 0.000

The value obtained for the energy relative to the lowest polymorph listed for this composition is 0.0 meV/atom. Its crystal system is tetragonal.

---

No. 9
First-principles (GGA-PBE) data for a relaxed TcSn3Sb crystal, as listed in Alexandria.

Unit cell a=5.210 b=5.210 c=5.210 alpha=90.00 beta=90.00 gamma=90.00
Positions (direct):
Sn 0.500 0.000 0.000
Sn 0.000 0.000 0.500
Sn 0.000 0.500 0.000
Sb 0.500 0.500 0.500
Tc 0.000 0.000 0.000

The value obtained for the energy relative to the lowest polymorph listed for this composition is 0.0 meV/atom. Its crystal system is cubic.

---

No. 10
First-principles (GGA-PBE) data for a relaxed Tc3SnSb5 crystal, as listed in Alexandria.

Unit cell a=3.310 b=6.851 c=18.642 alpha=89.67 beta=90.00 gamma=90.00
Positions (direct):
Sb 0.000 0.357 0.061
Sb 0.500 0.137 0.227
Sb 0.000 0.309 0.413
Sb 0.000 0.691 0.587
Sb 0.500 0.198 0.588
Sb 0.500 0.857 0.102
Sb 0.500 0.802 0.412
Sb 0.500 0.863 0.773
Sb 0.500 0.143 0.898
Sb 0.000 0.643 0.939
Sn 0.000 0.662 0.255
Sn 0.000 0.338 0.745
Tc 0.000 0.000 0.000
Tc 0.000 0.003 0.334
Tc 0.500 0.508 0.838
Tc 0.500 0.492 0.162
Tc 0.500 0.500 0.500
Tc 0.000 0.997 0.666

As for the electronic total energy: -6.15 eV per atom. Its crystal system is monoclinic.

---

No. 11
First-principles (GGA-PBE) data for a relaxed TcSnSb crystal, as listed in Alexandria.

Unit cell a=3.355 b=4.696 c=4.696 alpha=120.00 beta=90.00 gamma=90.00
Positions (direct):
Sn 0.167 0.333 0.667
Sb 0.666 0.667 0.333
Tc 0.167 0.000 0.000

The value obtained for the energy relative to the lowest polymorph listed for this composition is 427.3 meV/atom. Its crystal system is hexagonal.

---

No. 12
First-principles (GGA-PBE) data for a relaxed TcSn4Sb2 crystal, as listed in Alexandria.

Unit cell a=5.053 b=5.053 c=9.145 alpha=73.96 beta=73.96 gamma=90.00
Positions (direct):
Sn 0.000 0.500 0.000
Sn 0.842 0.842 0.315
Sn 0.500 0.000 0.000
Sn 0.158 0.158 0.685
Sb 0.676 0.676 0.647
Sb 0.324 0.324 0.353
Tc 0.000 0.000 0.000

As for the electronic total energy: -4.65 eV per atom. Its crystal system is tetragonal.